*A*
First-principles (GGA-PBE) data for CeNbGa2 after structural relaxation, as listed in Alexandria via LeMat-Bulk.

Geometry as POSCAR:
```
CeNbGa2
1.0
-0.119 -1.946 2.314
1.014 -2.829 -0.349
9.290 1.275 3.527
Ga Nb Ce
2 1 1
direct
0.257 0.257 0.228
0.743 0.743 0.772
0.000 0.000 0.000
0.500 0.500 0.500
```


*B*
First-principles (GGA-PBE) data for CeNbGa2 after structural relaxation, as listed in Alexandria via LeMat-Bulk.

Geometry as POSCAR:
```
CeNbGa2
1.0
-2.182 2.250 1.688
0.244 -1.977 2.951
4.962 3.407 1.872
Nb Ga Ce
1 2 1
direct
0.500 0.500 0.000
0.000 0.000 0.203
0.000 0.000 0.797
0.500 0.500 0.500
```


If we sort the structures by their calculated energies, the order from most to least stable is *B*, *A*.


*A*
First-principles (GGA-PBE) data for Ce2NdGa after structural relaxation, as listed in Alexandria via LeMat-Bulk.

Geometry as POSCAR:
```
Ce2NdGa
1.0
5.423 0.000 0.000
-2.712 5.786 0.000
0.000 0.000 6.798
Ga Nd Ce
2 2 4
direct
0.817 0.634 0.750
0.183 0.366 0.250
0.081 0.163 0.750
0.919 0.837 0.250
0.614 0.228 0.042
0.386 0.772 0.542
0.614 0.228 0.458
0.386 0.772 0.958
```


*B*
First-principles (GGA-PBE) data for Ce2NdGa after structural relaxation, as listed in Alexandria via LeMat-Bulk.

Geometry as POSCAR:
```
Ce2NdGa
1.0
-4.450 -1.707 2.354
0.269 -2.586 4.636
-1.717 2.340 4.452
Nd Ce Ga
1 2 1
direct
0.000 0.000 0.000
0.750 0.750 0.750
0.250 0.250 0.250
0.500 0.500 0.500
```


If we sort the structures by their calculated energies, the order from most to least stable is *A*, *B*.